Record 1
Below is a relaxed structure of Nd3Mg2Pb, with properties calculated at the PBE level.

Calculated values
Energy of formation (eV per atom): -0.2672
DOS(E_F) (states/eV per atom): 0.9173
Space group: No. 65
Total moment (μB/f.u.): 0.0

```
12
Lattice="4.336 0.000 0.000 0.000 5.208 0.000 0.000 0.000 15.734" Properties=species:S:1:pos:R:3 pbc="T T T"
Nd 2.168 2.604 5.263
Nd 2.168 0.000 13.131
Nd 2.168 2.604 0.000
Nd 2.168 0.000 2.604
Nd 2.168 0.000 7.867
Nd 2.168 2.604 10.471
Pb 0.000 2.604 7.867
Pb 4.336 0.000 0.000
Mg 4.336 2.604 2.725
Mg 0.000 0.000 5.142
Mg 0.000 0.000 10.592
Mg 4.336 2.604 13.009
```

***

Record 2
Below is a relaxed structure of Te2IrW, with properties calculated at the PBE level.

Calculated values
Formation energy (no corrections) (eV per atom): 0.76
DOS(E_F) (states/eV per atom): 0.9699
Space group: No. 122
Total moment (μB/f.u.): 0.3
Energy relative to the lowest polymorph listed for this composition (meV per atom): 622.6

```
8
Lattice="6.024 0.000 0.000 0.000 6.024 0.000 3.012 3.012 5.951" Properties=species:S:1:pos:R:3 pbc="T T T"
Ir 0.000 0.000 0.000
Ir 6.024 3.012 2.976
W 3.012 3.012 0.000
W 3.012 6.024 2.976
Te 4.518 4.477 4.464
Te 4.559 1.506 1.488
Te 1.465 4.518 1.488
Te 7.530 7.571 4.464
```